Below is a geometry-optimized MgMnInI2 structure, with properties calculated at the PBE-GGA level.

Cell lengths 6.2805, 6.2805, 5.3780 Å; angles 90.00, 90.00, 90.00 degrees
Sites, in units of the cell vectors:
Mg (0.0000, 0.0000, 0.0000)
Mn (0.5000, 0.5000, 0.0000)
In (0.5000, 0.5000, 0.5000)
I (0.0000, 0.5000, 0.5000)
I (0.5000, 0.0000, 0.5000)

Mass density in g/cm3: 3.5
Density of states at the Fermi level in states/eV/cell: 3.1
Formation energy without anion corrections in kJ/mol of formula units: 206

Below is a geometry-optimized MgInI2N structure, with properties calculated at the PBE-GGA level.

Cell lengths 6.0033, 6.0033, 4.1313 Å; angles 90.00, 90.00, 90.00 degrees
Sites, in units of the cell vectors:
Mg (0.0000, 0.0000, 0.0000)
In (0.5000, 0.5000, 0.5000)
I (0.0000, 0.5000, 0.0000)
I (0.5000, 0.0000, 0.0000)
N (0.0000, 0.0000, 0.5000)

Offset from the most stable computed form in eV per atom: 0.000
Mass density in g/cm3: 4.5
Formation energy without anion corrections in kJ/mol of formula units: 21

Below is a geometry-optimized MgInI2N structure, with properties calculated at the PBE-GGA level.

Cell lengths 6.1171, 6.1171, 4.0349 Å; angles 90.00, 90.00, 90.00 degrees
Sites, in units of the cell vectors:
Mg (0.0000, 0.0000, 0.0000)
In (0.5000, 0.5000, 0.5000)
I (0.0000, 0.5000, 0.5000)
I (0.5000, 0.0000, 0.5000)
N (0.5000, 0.5000, 0.0000)

Offset from the most stable computed form in eV per atom: 0.392
Mass density in g/cm3: 4.5
Density of states at the Fermi level in states/eV/cell: 4.5
Formation energy without anion corrections in kJ/mol of formula units: 210

Below is a geometry-optimized NaMgInI4 structure, with properties calculated at the PBE-GGA level.

Cell lengths 7.8540, 8.3227, 9.2624 Å; angles 90.00, 106.46, 90.00 degrees
Sites, in units of the cell vectors:
Na (0.2310, 0.2500, 0.0643)
Na (0.7690, 0.7500, 0.9357)
Mg (0.2446, 0.7500, 0.8193)
Mg (0.7554, 0.2500, 0.1807)
In (0.2153, 0.2500, 0.5520)
In (0.7847, 0.7500, 0.4480)
I (0.0038, 0.0009, 0.7667)
I (0.0038, 0.4991, 0.7667)
I (0.4454, 0.7500, 0.6232)
I (0.4636, 0.7500, 0.1055)
I (0.5364, 0.2500, 0.8945)
I (0.5546, 0.2500, 0.3768)
I (0.9962, 0.5009, 0.2334)
I (0.9962, 0.9991, 0.2334)

Mass density in g/cm3: 3.8
Density of states at the Fermi level in states/eV/cell: 0.0
Formation energy without anion corrections in kJ/mol of formula units: -605